A geometry-optimized ScAl2Re2 structure. Source: OQMD via LeMat-Bulk, functional PBE.

Computed properties:
The calculation puts the total moment at 0.05 μB/f.u. The offset from the most stable computed form is 0.00 eV/f.u.

Cell lengths 3.7967, 3.7967, 11.9990 Å; angles 90.00, 90.00, 90.00 degrees
With the nearest neighbours (Å) after each atom.
Space group I4/mmm (No. 139)
Symmetry-distinct sites (fractional):
1 Sc 0.0000 0.0000 0.0000  8 Al 2.96
2 Al 0.0000 0.0000 0.3968  1 Al 2.48, 4 Re 2.59
3 Re 0.0000 0.5000 0.2500  4 Al 2.59, 4 Re 2.68